1.
This record from Alexandria via LeMat-Bulk describes crystalline LiThInCl6 at its relaxed geometry. The functional is GGA-PBE.

It has space group P-31c (No. 163), with a = 6.9182 Å, b = 6.9182 Å, c = 14.0941 Å, α = 90.00°, β = 90.00° and γ = 120.00°. The distinct sites, in fractional coordinates, are Li at (0.3333, 0.6667, 0.2500), Th at (0.3333, 0.6667, 0.7500), In at (0.0000, 0.0000, 0.0000) and Cl at (0.0069, 0.3709, 0.1426).

As for the uncorrected formation energy: -16.23 eV/f.u.



2.
This record from Alexandria via LeMat-Bulk describes crystalline LiEuCd3 at its relaxed geometry. The functional is GGA-PBE.

It has space group Pm-3m (No. 221), with a = 5.002 Å, b = 5.002 Å, c = 5.002 Å, α = 90.00°, β = 90.00° and γ = 90.00°. The distinct sites, in fractional coordinates, are Li at (0.000, 0.000, 0.000), Eu at (0.500, 0.500, 0.500) and Cd at (0.000, 0.000, 0.500).



3.
This record from Alexandria via LeMat-Bulk describes crystalline ScTcAs3 at its relaxed geometry. The functional is GGA-PBE.

It has space group Pm-3m (No. 221), with a = 5.028 Å, b = 5.028 Å, c = 5.028 Å, α = 90.00°, β = 90.00° and γ = 90.00°. The distinct sites, in fractional coordinates, are Sc at (0.000, 0.000, 0.000), Tc at (0.500, 0.500, 0.500) and As at (0.000, 0.000, 0.500).

The calculation puts the offset from the most stable computed form at 619 meV/atom.



4.
This record from Alexandria via LeMat-Bulk describes crystalline In2Bi4Pb5 at its relaxed geometry. The functional is GGA-PBE.

It has space group P-1 (No. 2), with a = 5.189 Å, b = 7.978 Å, c = 9.104 Å, α = 107.01°, β = 105.64° and γ = 90.81°. The distinct sites, in fractional coordinates, are In at (0.182, 0.414, 0.364), Bi at (0.087, 0.970, 0.187), Bi at (0.355, 0.340, 0.717), Pb at (0.000, 0.500, 0.000), Pb at (0.274, 0.873, 0.544) and Pb at (0.462, 0.775, 0.918).

The calculation puts the offset from the most stable computed form at 0 meV/atom.



5.
This record from Alexandria via LeMat-Bulk describes crystalline Sc2SiP at its relaxed geometry. The functional is GGA-PBE.

It has space group R3m (No. 160, hexagonal axes), with a = 3.3812 Å, b = 3.3812 Å, c = 24.2596 Å, α = 90.00°, β = 90.00° and γ = 120.00°. The distinct sites, in fractional coordinates, are Sc at (0.0000, 0.0000, 0.0000), Sc at (0.0000, 0.0000, 0.2293), Si at (0.0000, 0.0000, 0.4688) and P at (0.0000, 0.0000, 0.7495).

As for the uncorrected formation energy: -0.81 eV/f.u. The calculation puts the offset from the most stable computed form at 949 meV/atom.



6.
This record from Alexandria via LeMat-Bulk describes crystalline La2Si4RuPt3 at its relaxed geometry. The functional is GGA-PBE.

It has space group P-4m2 (No. 115), with a = 4.249 Å, b = 4.249 Å, c = 10.053 Å, α = 90.00°, β = 90.00° and γ = 90.00°. The distinct sites, in fractional coordinates, are La at (0.000, 0.500, 0.244), Si at (0.000, 0.000, 0.000), Si at (0.000, 0.500, 0.627), Si at (0.500, 0.500, 0.000), Ru at (0.000, 0.000, 0.500), Pt at (0.000, 0.500, 0.876) and Pt at (0.500, 0.500, 0.500).

As for the uncorrected formation energy: -10.95 eV/f.u.



7.
This record from Alexandria via LeMat-Bulk describes crystalline Na2CuPt at its relaxed geometry. The functional is GGA-PBE.

It has space group I-42d (No. 122), with a = 7.830 Å, b = 7.830 Å, c = 5.134 Å, α = 90.00°, β = 90.00° and γ = 90.00°. The distinct sites, in fractional coordinates, are Na at (0.241, 0.750, 0.125), Cu at (0.000, 0.000, 0.000) and Pt at (0.000, 0.000, 0.500).

The calculation puts the offset from the most stable computed form at 0 meV/atom.



8.
This record from Alexandria via LeMat-Bulk describes crystalline Sn2BiI8 at its relaxed geometry. The functional is GGA-PBE.

It has space group P-3m1 (No. 164), with a = 9.3542 Å, b = 9.3542 Å, c = 8.4324 Å, α = 90.00°, β = 90.00° and γ = 120.00°. The distinct sites, in fractional coordinates, are Sn at (0.3333, 0.6667, 0.2401), Bi at (0.0000, 0.0000, 0.5000), I at (0.1462, 0.2925, 0.2608) and I at (0.3333, 0.6667, 0.9109).

As for the uncorrected formation energy: -3.38 eV/f.u.



9.
This record from Alexandria via LeMat-Bulk describes crystalline PuSn2Au6 at its relaxed geometry. The functional is GGA-PBE.

It has space group Immm (No. 71), with a = 3.236 Å, b = 8.440 Å, c = 14.127 Å, α = 90.00°, β = 90.00° and γ = 90.00°. The distinct sites, in fractional coordinates, are Pu at (0.000, 0.000, 0.000), Sn at (0.000, 0.500, 0.151), Au at (0.000, 0.175, 0.500) and Au at (0.000, 0.331, 0.326).

The calculation puts the offset from the most stable computed form at 22 meV/atom.



Number 1: Fermi-level density of states 0.0 states/eV per cell, M_tot 0.000 μB per formula unit, E -4.38 eV per atom. Number 2: Fermi-level density of states 13.9 states/eV per cell, M_tot 7.232 μB per formula unit, E -3.13 eV per atom. Number 3: Fermi-level density of states 4.0 states/eV per cell, M_tot 3.509 μB per formula unit, E -5.26 eV per atom. Number 4: Fermi-level density of states 5.2 states/eV per cell, M_tot 0.000 μB per formula unit, E -3.56 eV per atom. Number 5: Fermi-level density of states 13.2 states/eV per cell, M_tot 0.927 μB per formula unit, E -6.08 eV per atom. Number 6: Fermi-level density of states 3.6 states/eV per cell, M_tot 0.000 μB per formula unit, E -6.99 eV per atom. Number 7: Fermi-level density of states 4.9 states/eV per cell, M_tot 0.000 μB per formula unit, E -2.97 eV per atom. Number 8: Fermi-level density of states 8.4 states/eV per cell, M_tot 0.000 μB per formula unit, E -2.52 eV per atom. Number 9: Fermi-level density of states 28.1 states/eV per cell, M_tot 5.828 μB per formula unit, E -4.84 eV per atom.